[1]
# CeTmPu2N4 PBE-GGA optimized geometry
data_CeTmPu2N4
_cell_length_a 5.9943
_cell_length_b 3.4913
_cell_length_c 6.0632
_cell_angle_alpha 90.00
_cell_angle_beta 109.49
_cell_angle_gamma 90.00
_symmetry_space_group_name_H-M 'P 1 2/m 1'
_symmetry_Int_Tables_number 10
loop_
_symmetry_equiv_pos_as_xyz
'x,y,z'
'-x,-y,-z'
'-x,y,-z'
'x,-y,z'
loop_
_atom_site_label
_atom_site_type_symbol
_atom_site_fract_x
_atom_site_fract_y
_atom_site_fract_z
Ce1 Ce 0.0000 0.0000 0.0000
Tm1 Tm 0.0000 0.5000 0.5000
Pu1 Pu 0.5000 0.0000 0.5000
Pu2 Pu 0.5000 0.5000 0.0000
N1 N 0.2542 0.0000 0.7441
N2 N 0.2575 0.5000 0.2618
# E_form (uncorrected) in eV per formula unit: -11.5

=====

[2]
# Ce2PuU3N6 PBE-GGA optimized geometry
data_Ce2PuU3N6
_cell_length_a 6.0411
_cell_length_b 10.4552
_cell_length_c 6.0440
_cell_angle_alpha 90.00
_cell_angle_beta 109.51
_cell_angle_gamma 90.00
_symmetry_space_group_name_H-M 'C 1 2/m 1'
_symmetry_Int_Tables_number 12
loop_
_symmetry_equiv_pos_as_xyz
'x,y,z'
'-x,-y,-z'
'-x,y,-z'
'x,-y,z'
'x+1/2,y+1/2,z'
'-x+1/2,-y+1/2,-z'
'-x+1/2,y+1/2,-z'
'x+1/2,-y+1/2,z'
loop_
_atom_site_label
_atom_site_type_symbol
_atom_site_fract_x
_atom_site_fract_y
_atom_site_fract_z
Ce1 Ce 0.0000 0.1669 0.0000
Pu1 Pu 0.0000 0.5000 0.0000
U1 U 0.0000 0.0000 0.5000
U2 U 0.0000 0.3333 0.5000
N1 N 0.2371 0.5000 0.7224
N2 N 0.2429 0.1648 0.7235
# E_form (uncorrected) in eV per formula unit: -16.7

=====

[3]
# CePu3U2N6 PBE-GGA optimized geometry
data_CePu3U2N6
_cell_length_a 6.0463
_cell_length_b 10.4637
_cell_length_c 6.0013
_cell_angle_alpha 90.00
_cell_angle_beta 109.59
_cell_angle_gamma 90.00
_symmetry_space_group_name_H-M 'C 1 2/m 1'
_symmetry_Int_Tables_number 12
loop_
_symmetry_equiv_pos_as_xyz
'x,y,z'
'-x,-y,-z'
'-x,y,-z'
'x,-y,z'
'x+1/2,y+1/2,z'
'-x+1/2,-y+1/2,-z'
'-x+1/2,y+1/2,-z'
'x+1/2,-y+1/2,z'
loop_
_atom_site_label
_atom_site_type_symbol
_atom_site_fract_x
_atom_site_fract_y
_atom_site_fract_z
Ce1 Ce 0.0000 0.0000 0.0000
Pu1 Pu 0.0000 0.1633 0.5000
Pu2 Pu 0.0000 0.5000 0.5000
U1 U 0.0000 0.3326 0.0000
N1 N 0.2260 0.5000 0.2349
N2 N 0.2440 0.3247 0.7597
# E_form (uncorrected) in eV per formula unit: -16.0

=====

[4]
# Ce4PuU3N8 PBE-GGA optimized geometry
data_Ce4PuU3N8
_cell_length_a 6.9928
_cell_length_b 6.9928
_cell_length_c 17.2078
_cell_angle_alpha 90.00
_cell_angle_beta 90.00
_cell_angle_gamma 120.00
_symmetry_space_group_name_H-M 'R -3 m'
_symmetry_Int_Tables_number 166
_symmetry_space_group_name_Hall '-R 3 2"'
loop_
_atom_site_label
_atom_site_type_symbol
_atom_site_fract_x
_atom_site_fract_y
_atom_site_fract_z
Ce1 Ce 0.0000 0.0000 0.0000
Ce2 Ce 0.0000 0.5000 0.0000
Pu1 Pu 0.0000 0.0000 0.5000
U1 U 0.0000 0.5000 0.5000
N1 N 0.0000 0.0000 0.2396
N2 N 0.0122 0.5061 0.7591
# E_form (uncorrected) in eV per formula unit: -22.9

=====

[5]
# CePuUN3 PBE-GGA optimized geometry
data_CePuUN3
_cell_length_a 6.8384
_cell_length_b 3.4952
_cell_length_c 9.3242
_cell_angle_alpha 90.00
_cell_angle_beta 102.72
_cell_angle_gamma 90.00
_symmetry_space_group_name_H-M 'P 1 21/m 1'
_symmetry_Int_Tables_number 11
loop_
_symmetry_equiv_pos_as_xyz
'x,y,z'
'-x,-y,-z'
'-x,y+1/2,-z'
'x,-y+1/2,z'
loop_
_atom_site_label
_atom_site_type_symbol
_atom_site_fract_x
_atom_site_fract_y
_atom_site_fract_z
Ce1 Ce 0.0829 0.2500 0.3542
Pu1 Pu 0.2711 0.2500 0.9400
U1 U 0.4203 0.7500 0.6426
N1 N 0.1815 0.2500 0.6310
N2 N 0.3584 0.7500 0.3989
N3 N 0.4478 0.7500 0.8786
# E_form (uncorrected) in eV per formula unit: -7.0

=====

[6]
# Ce3Pu2UN6 PBE-GGA optimized geometry
data_Ce3Pu2UN6
_cell_length_a 6.0741
_cell_length_b 10.5133
_cell_length_c 6.1142
_cell_angle_alpha 90.00
_cell_angle_beta 109.29
_cell_angle_gamma 90.00
_symmetry_space_group_name_H-M 'C 1 2/m 1'
_symmetry_Int_Tables_number 12
loop_
_symmetry_equiv_pos_as_xyz
'x,y,z'
'-x,-y,-z'
'-x,y,-z'
'x,-y,z'
'x+1/2,y+1/2,z'
'-x+1/2,-y+1/2,-z'
'-x+1/2,y+1/2,-z'
'x+1/2,-y+1/2,z'
loop_
_atom_site_label
_atom_site_type_symbol
_atom_site_fract_x
_atom_site_fract_y
_atom_site_fract_z
Ce1 Ce 0.0000 0.0000 0.0000
Ce2 Ce 0.0000 0.3309 0.0000
Pu1 Pu 0.0000 0.1663 0.5000
U1 U 0.0000 0.5000 0.5000
N1 N 0.2340 0.3418 0.7276
N2 N 0.2391 0.5000 0.2687
# E_form (uncorrected) in eV per formula unit: -17.0

=====

[7]
# Ce2Pu3UN6 PBE-GGA optimized geometry
data_Ce2Pu3UN6
_cell_length_a 6.0877
_cell_length_b 10.5322
_cell_length_c 6.0422
_cell_angle_alpha 90.00
_cell_angle_beta 109.60
_cell_angle_gamma 90.00
_symmetry_space_group_name_H-M 'C 1 2/m 1'
_symmetry_Int_Tables_number 12
loop_
_symmetry_equiv_pos_as_xyz
'x,y,z'
'-x,-y,-z'
'-x,y,-z'
'x,-y,z'
'x+1/2,y+1/2,z'
'-x+1/2,-y+1/2,-z'
'-x+1/2,y+1/2,-z'
'x+1/2,-y+1/2,z'
loop_
_atom_site_label
_atom_site_type_symbol
_atom_site_fract_x
_atom_site_fract_y
_atom_site_fract_z
Ce1 Ce 0.0000 0.1662 0.0000
Pu1 Pu 0.0000 0.0000 0.5000
Pu2 Pu 0.0000 0.3310 0.5000
U1 U 0.0000 0.5000 0.0000
N1 N 0.2289 0.5000 0.7508
N2 N 0.2372 0.3444 0.2455
# E_form (uncorrected) in eV per formula unit: -16.4

=====

[8]
# CePu2U3N6 PBE-GGA optimized geometry
data_CePu2U3N6
_cell_length_a 6.0202
_cell_length_b 10.4274
_cell_length_c 6.0122
_cell_angle_alpha 90.00
_cell_angle_beta 109.50
_cell_angle_gamma 90.00
_symmetry_space_group_name_H-M 'C 1 2/m 1'
_symmetry_Int_Tables_number 12
loop_
_symmetry_equiv_pos_as_xyz
'x,y,z'
'-x,-y,-z'
'-x,y,-z'
'x,-y,z'
'x+1/2,y+1/2,z'
'-x+1/2,-y+1/2,-z'
'-x+1/2,y+1/2,-z'
'x+1/2,-y+1/2,z'
loop_
_atom_site_label
_atom_site_type_symbol
_atom_site_fract_x
_atom_site_fract_y
_atom_site_fract_z
Ce1 Ce 0.0000 0.0000 0.0000
Pu1 Pu 0.0000 0.3333 0.0000
U1 U 0.0000 0.1662 0.5000
U2 U 0.0000 0.5000 0.5000
N1 N 0.2391 0.3305 0.7266
N2 N 0.2495 0.0000 0.7290
# E_form (uncorrected) in eV per formula unit: -16.1

=====

[9]
# Ce2PuVN4 PBE-GGA optimized geometry
data_Ce2PuVN4
_cell_length_a 3.4062
_cell_length_b 11.6243
_cell_length_c 12.1144
_cell_angle_alpha 90.00
_cell_angle_beta 90.00
_cell_angle_gamma 90.00
_symmetry_space_group_name_H-M 'C m c m'
_symmetry_Int_Tables_number 63
_symmetry_space_group_name_Hall '-C 2c 2'
loop_
_atom_site_label
_atom_site_type_symbol
_atom_site_fract_x
_atom_site_fract_y
_atom_site_fract_z
Ce1 Ce 0.0000 0.1341 0.0429
Pu1 Pu 0.0000 0.3939 0.2500
V1 V 0.0000 0.3386 0.7500
N1 N 0.0000 0.0734 0.2500
N2 N 0.0000 0.2298 0.6356
N3 N 0.0000 0.5000 0.0000
# E_form (uncorrected) in eV per formula unit: -9.2

=====

[10]
# CePu2VN4 PBE-GGA optimized geometry
data_CePu2VN4
_cell_length_a 3.3798
_cell_length_b 11.5929
_cell_length_c 11.8008
_cell_angle_alpha 90.00
_cell_angle_beta 90.00
_cell_angle_gamma 90.00
_symmetry_space_group_name_H-M 'C m c m'
_symmetry_Int_Tables_number 63
_symmetry_space_group_name_Hall '-C 2c 2'
loop_
_atom_site_label
_atom_site_type_symbol
_atom_site_fract_x
_atom_site_fract_y
_atom_site_fract_z
Ce1 Ce 0.0000 0.0969 0.2500
Pu1 Pu 0.0000 0.3684 0.0452
V1 V 0.0000 0.1659 0.7500
N1 N 0.0000 0.0000 0.0000
N2 N 0.0000 0.2665 0.6262
N3 N 0.0000 0.4355 0.2500
# E_form (uncorrected) in eV per formula unit: -9.3

=====

[11]
# CePuWN4 PBE-GGA optimized geometry
data_CePuWN4
_cell_length_a 5.6075
_cell_length_b 12.0933
_cell_length_c 5.6002
_cell_angle_alpha 90.00
_cell_angle_beta 90.00
_cell_angle_gamma 90.00
_symmetry_space_group_name_H-M 'C m c m'
_symmetry_Int_Tables_number 63
_symmetry_space_group_name_Hall '-C 2c 2'
loop_
_atom_site_label
_atom_site_type_symbol
_atom_site_fract_x
_atom_site_fract_y
_atom_site_fract_z
Ce1 Ce 0.0000 0.1058 0.2500
Pu1 Pu 0.0000 0.3927 0.2500
W1 W 0.0000 0.2545 0.7500
N1 N 0.0000 0.0768 0.7500
N2 N 0.0000 0.4242 0.7500
N3 N 0.2500 0.2500 0.0000
# E_form (uncorrected) in eV per formula unit: -7.2

=====

[12]
# Ce2PuWN4 PBE-GGA optimized geometry
data_Ce2PuWN4
_cell_length_a 3.3743
_cell_length_b 11.8879
_cell_length_c 12.0063
_cell_angle_alpha 90.00
_cell_angle_beta 90.00
_cell_angle_gamma 90.00
_symmetry_space_group_name_H-M 'C m c m'
_symmetry_Int_Tables_number 63
_symmetry_space_group_name_Hall '-C 2c 2'
loop_
_atom_site_label
_atom_site_type_symbol
_atom_site_fract_x
_atom_site_fract_y
_atom_site_fract_z
Ce1 Ce 0.0000 0.1328 0.0429
Pu1 Pu 0.0000 0.3852 0.2500
W1 W 0.0000 0.3515 0.7500
N1 N 0.0000 0.0426 0.2500
N2 N 0.0000 0.2283 0.6332
N3 N 0.0000 0.5000 0.0000
# E_form (uncorrected) in eV per formula unit: -7.7